The following is a DFT calculation (PBE+U) of a relaxed Pm2AlWO8 crystal.

abc: 6.550 6.550 4.994
angles: 90.00 90.00 120.00
Element x y z (fractional)
Pm1 0.333 0.667 0.217
Pm2 0.667 0.333 0.783
Al1 0.000 0.000 0.000
W1 0.000 0.000 0.500
O1 0.130 0.260 0.247
O2 0.130 0.870 0.247
O3 0.260 0.130 0.753
O4 0.333 0.667 0.768
O5 0.667 0.333 0.232
O6 0.740 0.870 0.247
O7 0.870 0.130 0.753
O8 0.870 0.740 0.753

Output
Uncorrected energy (eV per atom): -7.32
Space-group type: P-3m1 (164)
Theoretical density (g/cm³): 5.627